#one
The following is a PBE calculation of a relaxed structure of Na2MoBr6, from the Alexandria database.

```
Na2MoBr6
1.0
-2.740 1.940 -6.227
5.420 -3.681 -3.532
-5.554 -8.633 0.474
Br Na Mo
12 4 2
Cartesian
1.435 -4.195 -8.663
0.799 -1.297 -2.384
3.037 -2.771 -4.855
-1.322 -4.557 -1.841
-4.067 -4.155 -4.792
-0.502 -2.523 -5.537
-1.552 -5.817 -7.443
-3.673 -9.077 -6.901
-5.911 -7.603 -4.430
-4.309 -6.178 -0.622
-2.372 -7.851 -3.748
1.193 -6.218 -4.493
-0.645 -8.465 -6.164
-2.229 -1.909 -3.121
-4.834 -6.303 -7.002
1.960 -4.071 -2.283
1.340 -0.870 -4.879
-2.777 -4.316 0.237
```

Calculated values
- Space group: P2_1/c (14)
- Total magnetic moment: 2.000 μB/f.u.
- Crystal system: monoclinic

#two
The following is a PBE calculation of a relaxed structure of Na2MoBr6, from the Alexandria database.

```
Na2MoBr6
1.0
-4.107 -5.304 0.432
1.888 -0.943 6.383
-9.405 7.600 3.905
Br Na Mo
12 4 2
Cartesian
-6.763 2.954 4.649
-0.605 -0.656 5.833
-7.596 0.609 7.207
-0.595 -1.676 1.828
-7.420 -0.493 3.764
-1.624 -4.572 4.987
-7.275 4.734 8.603
-4.204 1.847 6.956
-4.349 -3.381 2.117
-4.861 -1.601 6.071
-11.019 2.010 4.886
-4.028 0.744 3.513
-2.694 -1.843 4.065
-6.288 5.081 2.611
-8.930 3.196 6.654
-3.118 2.519 1.295
-5.812 0.677 5.360
0.000 0.000 0.000
```

Calculated values
- Space group: P4_2/mnm (136)
- Total magnetic moment: 2.000 μB/f.u.
- Crystal system: tetragonal

Which is most stable? The ranking, best first, is #one, #two.